# 1
Below is crystalline Dy2HoEr5Sc at its relaxed geometry, with properties calculated at the PBE level.

The structure in CIF format:
```
data_Dy2HoEr5Sc
_cell_length_a 5.4860
_cell_length_b 10.2278
_cell_length_c 10.2825
_cell_angle_alpha 90.00
_cell_angle_beta 90.00
_cell_angle_gamma 105.56
_space_group_name_H-M_alt 'P 1'
_space_group_IT_number 1
loop_
_space_group_symop_operation_xyz
'x,y,z'
loop_
_atom_site_label
_atom_site_type_symbol
_atom_site_fract_x
_atom_site_fract_y
_atom_site_fract_z
Ho1 Ho 0.5903 0.1807 0.9563
Ho2 Ho 0.4097 0.8193 0.4563
Er1 Er 0.6999 0.3999 0.2049
Er2 Er 0.6222 0.2445 0.5210
Er3 Er 0.5185 0.0369 0.2396
Er4 Er 0.0177 0.0353 0.0182
Er5 Er 0.9823 0.9647 0.5182
Er6 Er 0.2759 0.5518 0.3196
Er7 Er 0.3001 0.6001 0.7049
Er8 Er 0.4815 0.9631 0.7396
Er9 Er 0.7241 0.4482 0.8196
Er10 Er 0.3778 0.7555 0.0210
Dy1 Dy 0.8886 0.7772 0.8136
Dy2 Dy 0.1139 0.2278 0.7362
Dy3 Dy 0.1114 0.2228 0.3136
Dy4 Dy 0.8861 0.7722 0.2362
Sc1 Sc 0.8043 0.6086 0.5145
Sc2 Sc 0.1957 0.3914 0.0145
```

Computed properties:
As for the uncorrected energy: -4.603 eV/atom. Its energy relative to the elements is 0.167 eV per atom.



# 2
Below is crystalline Sc3Te2S at its relaxed geometry, with properties calculated at the PBE level.

The structure in CIF format:
```
data_Sc3Te2S
_cell_length_a 5.5490
_cell_length_b 8.0592
_cell_length_c 8.0592
_cell_angle_alpha 113.32
_cell_angle_beta 90.00
_cell_angle_gamma 90.00
_space_group_name_H-M_alt 'P 1'
_space_group_IT_number 1
loop_
_space_group_symop_operation_xyz
'x,y,z'
loop_
_atom_site_label
_atom_site_type_symbol
_atom_site_fract_x
_atom_site_fract_y
_atom_site_fract_z
Sc1 Sc 0.9930 0.8712 0.5518
Sc2 Sc 0.4930 0.1288 0.4482
Sc3 Sc 0.4930 0.4482 0.1288
Sc4 Sc 0.9929 0.1419 0.1419
Sc5 Sc 0.9930 0.5518 0.8712
Sc6 Sc 0.4929 0.8581 0.8581
Te1 Te 0.9930 0.2138 0.5227
Te2 Te 0.4930 0.4773 0.7862
Te3 Te 0.9930 0.5227 0.2138
Te4 Te 0.4930 0.7862 0.4773
S1 S 0.9931 0.8583 0.8583
S2 S 0.4931 0.1417 0.1417
```

Computed properties:
As for the uncorrected energy: -6.051 eV/atom.



# 3
Below is crystalline RbHgSN2 at its relaxed geometry, with properties calculated at the PBE level.

The structure in CIF format:
```
data_RbHgSN2
_cell_length_a 4.6771
_cell_length_b 4.6771
_cell_length_c 5.2440
_cell_angle_alpha 90.00
_cell_angle_beta 90.00
_cell_angle_gamma 90.00
_space_group_name_H-M_alt 'P 1'
_space_group_IT_number 1
loop_
_space_group_symop_operation_xyz
'x,y,z'
loop_
_atom_site_label
_atom_site_type_symbol
_atom_site_fract_x
_atom_site_fract_y
_atom_site_fract_z
S1 S 0.0000 0.0000 0.5000
N1 N 0.5000 0.0000 0.0000
N2 N 0.0000 0.5000 0.0000
Rb1 Rb 0.5000 0.5000 0.5000
Hg1 Hg 0.0000 0.0000 0.0000
```

Computed properties:
As for the uncorrected energy: -3.016 eV/atom. Its energy above the most stable polymorph in this dataset is 0.000 eV/atom.



# 4
Below is crystalline LiEuSiPd at its relaxed geometry, with properties calculated at the PBE level.

The structure in CIF format:
```
data_LiEuSiPd
_cell_length_a 4.6952
_cell_length_b 4.6952
_cell_length_c 4.6952
_cell_angle_alpha 60.00
_cell_angle_beta 60.00
_cell_angle_gamma 60.00
_space_group_name_H-M_alt 'P 1'
_space_group_IT_number 1
loop_
_space_group_symop_operation_xyz
'x,y,z'
loop_
_atom_site_label
_atom_site_type_symbol
_atom_site_fract_x
_atom_site_fract_y
_atom_site_fract_z
Pd1 Pd 0.5000 0.5000 0.5000
Li1 Li 0.0000 0.0000 0.0000
Eu1 Eu 0.7500 0.7500 0.7500
Si1 Si 0.2500 0.2500 0.2500
```

Computed properties:
As for the uncorrected energy: -6.107 eV/atom.



Q: The highest uncorrected energy belongs to which entry?
A: RbHgSN2



Q: Number 2 is which compound?
A: Sc3Te2S



Repeat the first record exactly.
Below is crystalline Dy2HoEr5Sc at its relaxed geometry, with properties calculated at the PBE level.

The structure in CIF format:
```
data_Dy2HoEr5Sc
_cell_length_a 5.4860
_cell_length_b 10.2278
_cell_length_c 10.2825
_cell_angle_alpha 90.00
_cell_angle_beta 90.00
_cell_angle_gamma 105.56
_space_group_name_H-M_alt 'P 1'
_space_group_IT_number 1
loop_
_space_group_symop_operation_xyz
'x,y,z'
loop_
_atom_site_label
_atom_site_type_symbol
_atom_site_fract_x
_atom_site_fract_y
_atom_site_fract_z
Ho1 Ho 0.5903 0.1807 0.9563
Ho2 Ho 0.4097 0.8193 0.4563
Er1 Er 0.6999 0.3999 0.2049
Er2 Er 0.6222 0.2445 0.5210
Er3 Er 0.5185 0.0369 0.2396
Er4 Er 0.0177 0.0353 0.0182
Er5 Er 0.9823 0.9647 0.5182
Er6 Er 0.2759 0.5518 0.3196
Er7 Er 0.3001 0.6001 0.7049
Er8 Er 0.4815 0.9631 0.7396
Er9 Er 0.7241 0.4482 0.8196
Er10 Er 0.3778 0.7555 0.0210
Dy1 Dy 0.8886 0.7772 0.8136
Dy2 Dy 0.1139 0.2278 0.7362
Dy3 Dy 0.1114 0.2228 0.3136
Dy4 Dy 0.8861 0.7722 0.2362
Sc1 Sc 0.8043 0.6086 0.5145
Sc2 Sc 0.1957 0.3914 0.0145
```

Computed properties:
As for the uncorrected energy: -4.603 eV/atom. Its energy relative to the elements is 0.167 eV per atom.



Q: Among the records above, which one has the lowest uncorrected energy?
A: LiEuSiPd